DFT (PBE-GGA) results for a geometry-optimized Ca2AcNd3Te6 structure.

## Properties
Raw formation energy (eV per atom): -1.488
Uncorrected energy (eV per formula unit): -59.12
Symmetry: C2/m, No. 12

The structure in extended XYZ format:
```
12
Lattice="7.8238 -0.0038 -0.0035 -3.9133 6.7748 -0.0035 -1.3080 -2.2647 7.5078" Properties=species:S:1:pos:R:3 pbc="T T T"
Nd -2.6753 4.5497 3.7504
Te 2.6980 -0.0019 1.8928
Te -0.0955 4.5082 5.6080
Ca -0.0240 4.5286 -0.0035
Ac 0.0000 0.0000 0.0000
Nd 1.3013 2.2531 3.7504
Ca 3.9345 2.2424 -0.0035
Te 2.5557 4.4252 1.8484
Te 0.0468 0.0811 5.6523
Nd 5.2778 -0.0435 3.7504
Te 3.9525 2.1703 5.6080
Te -1.3500 2.3359 1.8928
```

***

DFT (PBE-GGA) results for a geometry-optimized CaAcNdTh structure.

## Properties
Uncorrected energy (eV per formula unit): -17.37
DFT formation energy (eV/atom): 0.233
Symmetry: F-43m, No. 216

The structure in extended XYZ format:
```
4
Lattice="5.9804 0.0000 0.0000 2.9902 5.1792 0.0000 2.9902 1.7264 4.8830" Properties=species:S:1:pos:R:3 pbc="T T T"
Th 2.9902 1.7264 1.2208
Ca 8.9706 5.1792 3.6623
Ac 5.9804 3.4528 2.4415
Nd 0.0000 0.0000 0.0000
```

***

DFT (PBE-GGA) results for a geometry-optimized CaAcNd2Tl4 structure.

## Properties
Uncorrected energy (eV per formula unit): -28.10
DFT formation energy (eV/atom): -0.373
Symmetry: R-3m, No. 166

The structure in extended XYZ format:
```
8
Lattice="5.5844 0.0000 0.0000 2.7922 4.8362 0.0000 2.7922 1.6121 9.2956" Properties=species:S:1:pos:R:3 pbc="T T T"
Ac 0.0000 0.0000 0.0000
Tl 5.5844 3.2241 1.2271
Tl 5.5844 3.2241 8.0686
Nd 8.3766 4.8362 6.8230
Tl 8.3766 4.8362 3.5177
Tl 2.7922 1.6121 5.7779
Nd 2.7922 1.6121 2.4726
Ca 5.5844 3.2241 4.6478
```

***

DFT (PBE-GGA) results for a geometry-optimized Ca2AcNdTl4 structure.

## Properties
Uncorrected energy (eV per formula unit): -25.54
DFT formation energy (eV/atom): -0.399
Symmetry: R-3m, No. 166

The structure in extended XYZ format:
```
8
Lattice="-0.7462 4.1355 -3.6979 -4.2402 3.5975 0.6421 3.7496 8.0573 4.0175" Properties=species:S:1:pos:R:3 pbc="T T T"
Tl -2.5817 5.9072 -1.3461
Ca -0.2903 3.9668 0.2581
Tl 1.3448 9.8830 2.3079
Ac 0.0000 0.0000 0.0000
Tl 1.6882 5.9700 2.0992
Tl -2.9250 9.8202 -1.1374
Ca -0.9466 11.8235 0.7037
Nd -0.6184 7.8951 0.4809
```

***

DFT (PBE-GGA) results for a geometry-optimized CaAcNdY structure.

## Properties
Uncorrected energy (eV per formula unit): -17.12
DFT formation energy (eV/atom): 0.056
Symmetry: P4mm, No. 99

The structure in extended XYZ format:
```
4
Lattice="3.7994 0.0001 0.0047 0.0001 3.7994 -0.0047 -0.0136 0.0136 10.6722" Properties=species:S:1:pos:R:3 pbc="T T T"
Y 0.5522 3.2473 2.5231
Ca 2.4415 1.3580 10.5441
Nd 2.4492 1.3503 4.8756
Ac 0.5465 3.2530 7.5469
```

***

DFT (PBE-GGA) results for a geometry-optimized CaAcNdY structure.

## Properties
Uncorrected energy (eV per formula unit): -16.76
DFT formation energy (eV/atom): 0.146
Symmetry: F-43m, No. 216

The structure in extended XYZ format:
```
4
Lattice="-2.8073 2.0443 -4.8818 2.7692 -0.1029 -5.3116 -1.8006 -3.8269 -4.2432" Properties=species:S:1:pos:R:3 pbc="T T T"
Ac 0.0000 0.0000 0.0000
Ca -0.9194 -0.9427 -7.2183
Nd -0.4597 -0.4714 -3.6091
Y -1.3790 -1.4141 -10.8274
```

***

DFT (PBE-GGA) results for a geometry-optimized CaAcNdZn structure.

## Properties
Uncorrected energy (eV per formula unit): -11.95
DFT formation energy (eV/atom): 0.050
Symmetry: F-43m, No. 216

The structure in extended XYZ format:
```
4
Lattice="5.6913 0.0000 0.0000 2.8456 4.9288 0.0000 2.8456 1.6429 4.6469" Properties=species:S:1:pos:R:3 pbc="T T T"
Ac 0.0000 0.0000 0.0000
Nd 5.6913 3.2859 2.3234
Zn 2.8456 1.6429 1.1617
Ca 8.5369 4.9288 3.4852
```

***

DFT (PBE-GGA) results for a geometry-optimized CaAcNdZn structure.

## Properties
Uncorrected energy (eV per formula unit): -12.60
DFT formation energy (eV/atom): -0.112
Symmetry: P4mm, No. 99

The structure in extended XYZ format:
```
4
Lattice="-1.1801 -3.4595 0.8072 1.8324 -1.3215 -2.9847 7.7629 -1.3921 5.3823" Properties=species:S:1:pos:R:3 pbc="T T T"
Ca 6.2095 -3.4455 2.9904
Nd 3.2613 -2.9168 0.9463
Ac 0.6685 -0.1199 0.4635
Zn 4.3676 -0.7832 3.0282
```